Density functional theory data (PBE) for a relaxed structure of NdTlH6Rh2.

Geometry as POSCAR:
```
NdTlH6Rh2
1.0
3.804 -5.968 0.000
3.804 5.968 0.000
-0.558 0.000 4.759
Nd Tl H Rh
2 2 12 4
Cartesian
3.385 4.098 3.569
3.664 -4.098 1.190
3.664 1.409 1.190
3.385 -1.409 3.569
2.747 3.926 0.923
2.013 2.251 2.696
0.964 0.030 2.371
0.685 -0.030 4.750
4.581 3.926 1.456
2.292 -2.251 0.317
4.757 2.251 4.442
2.468 -3.926 3.302
6.364 0.030 0.009
6.085 -0.030 2.388
5.036 -2.251 2.063
4.302 -3.926 3.836
1.707 0.983 3.659
1.986 -0.983 1.279
5.063 0.983 3.480
5.342 -0.983 1.100
```

***

Density functional theory data (PBE) for a relaxed structure of Nd2ZnH12Rh3.

Geometry as POSCAR:
```
Nd2ZnH12Rh3
1.0
3.151 1.819 4.702
-3.151 1.819 4.702
0.000 -3.639 4.702
Nd Zn H Rh
2 1 12 3
Cartesian
0.000 0.000 1.703
0.000 0.000 12.404
0.000 0.000 7.054
-1.512 -0.873 6.377
0.000 -1.680 4.582
-1.455 0.840 4.582
-1.455 -0.840 9.525
0.000 -1.746 7.730
-1.512 0.873 7.730
1.512 -0.873 6.377
0.000 1.746 6.377
1.455 0.840 4.582
1.455 -0.840 9.525
0.000 1.680 9.525
1.512 0.873 7.730
-1.576 -0.910 4.702
-1.576 0.910 9.405
0.000 1.819 4.702
```

***

Calculated magnetic moment in order - 0.0; 0.0 μB/cell
Calculated DOS(E_F) in order - 2.8; 6.7 states/eV/cell
Calculated VASP energy in order - -4.4440; -4.2972 eV/atom